1.
The following is a DFT calculation (GGA-PBE) of a relaxed structure of PmPrHoTl.

## Properties
Total magnetization = 0.00 μB/cell

```
data_PmPrHoTl
_symmetry_space_group_name_H-M 'P m m m'
_symmetry_Int_Tables_number 47
_symmetry_space_group_name_Hall '-P 2 2'
_cell_length_a 4.8916
_cell_length_b 4.9190
_cell_length_c 5.0262
_cell_angle_alpha 90.00
_cell_angle_beta 90.00
_cell_angle_gamma 90.00
loop_
_atom_site_label
_atom_site_type_symbol
_atom_site_fract_x
_atom_site_fract_y
_atom_site_fract_z
_atom_site_occupancy
Pm1 Pm 0.0000 0.0000 0.0000 1
Pr1 Pr 0.5000 0.5000 0.0000 1
Ho1 Ho 0.0000 0.5000 0.5000 1
Tl1 Tl 0.5000 0.0000 0.5000 1
```

---

2.
The following is a DFT calculation (GGA-PBE) of a relaxed structure of PmPrHoTl.

## Properties
Total magnetization = 4.55 μB/cell

```
data_PmPrHoTl
_symmetry_space_group_name_H-M 'F -4 3 m'
_symmetry_Int_Tables_number 216
_symmetry_space_group_name_Hall 'F -4 2 3'
_cell_length_a 7.8999
_cell_length_b 7.8999
_cell_length_c 7.8999
_cell_angle_alpha 90.00
_cell_angle_beta 90.00
_cell_angle_gamma 90.00
loop_
_atom_site_label
_atom_site_type_symbol
_atom_site_fract_x
_atom_site_fract_y
_atom_site_fract_z
_atom_site_occupancy
Pm1 Pm 0.0000 0.0000 0.0000 1
Pr1 Pr 0.0000 0.0000 0.5000 1
Ho1 Ho 0.2500 0.2500 0.7500 1
Tl1 Tl 0.2500 0.2500 0.2500 1
```

---

Which structure is the least stable? The one labeled 2.

---

1.
The following is a DFT calculation (GGA-PBE) of a relaxed structure of PmPrYHo.

## Properties
Total magnetization = 0.00 μB/cell

```
data_PmPrYHo
_symmetry_space_group_name_H-M 'I -4 m 2'
_symmetry_Int_Tables_number 119
_symmetry_space_group_name_Hall 'I -4 -2'
_cell_length_a 5.1272
_cell_length_b 5.1272
_cell_length_c 10.1823
_cell_angle_alpha 90.00
_cell_angle_beta 90.00
_cell_angle_gamma 90.00
loop_
_atom_site_label
_atom_site_type_symbol
_atom_site_fract_x
_atom_site_fract_y
_atom_site_fract_z
_atom_site_occupancy
Pm1 Pm 0.0000 0.0000 0.0000 1
Pr1 Pr 0.0000 0.5000 0.2500 1
Y1 Y 0.0000 0.0000 0.5000 1
Ho1 Ho 0.0000 0.5000 0.7500 1
```

---

2.
The following is a DFT calculation (GGA-PBE) of a relaxed structure of PmPrYHo.

## Properties
Total magnetization = 0.00 μB/cell

```
data_PmPrYHo
_symmetry_space_group_name_H-M 'F -4 3 m'
_symmetry_Int_Tables_number 216
_symmetry_space_group_name_Hall 'F -4 2 3'
_cell_length_a 8.1404
_cell_length_b 8.1404
_cell_length_c 8.1404
_cell_angle_alpha 90.00
_cell_angle_beta 90.00
_cell_angle_gamma 90.00
loop_
_atom_site_label
_atom_site_type_symbol
_atom_site_fract_x
_atom_site_fract_y
_atom_site_fract_z
_atom_site_occupancy
Pm1 Pm 0.0000 0.0000 0.0000 1
Pr1 Pr 0.0000 0.0000 0.5000 1
Y1 Y 0.2500 0.2500 0.2500 1
Ho1 Ho 0.2500 0.2500 0.7500 1
```

---

Which structure is the least stable? The one labeled 2.